Here is an optimized crystal structure of YMg2Ag from Alexandria. Energies are from PBE-GGA.

```
YMg2Ag
1.0
10.109 0.018 0.010
9.555 3.303 0.010
9.555 1.613 2.882
Ag Mg Y
1 2 1
Direct
0.750 0.750 0.750
0.010 0.010 0.010
0.490 0.490 0.490
0.250 0.250 0.250
```

Computed properties:
DOS(E_F), states/eV/atom: 0.571
E_form, eV/f.u.: 0.0